VASP calculation (GGA-PBE) on an optimized crystal structure of Li2GdY.

The value obtained for the volume is 103.5 Å³/f.u. For the energy above the most stable polymorph in this dataset, the calculation gives 0.0105 eV/atom. For the density of states at the Fermi level, the calculation gives 1.25 states/eV/atom. As for the formation enthalpy at 0 K: 0.136 eV/atom. Its total magnetic moment is 7.90 μB/f.u.

abc: 7.4534 7.4534 7.4534
angles: 90.00 90.00 90.00
Space group Fm-3m (No. 225)
Asymmetric unit:
Li  0.2500  0.2500  0.2500 [8 per cell]
Gd  0.0000  0.0000  0.0000 [4 per cell]
Y  0.0000  0.0000  0.5000 [4 per cell]